1.
First-principles (GGA-PBE) data for crystalline As2RuBrN at its relaxed geometry, as listed in Alexandria via LeMat-Bulk. Values from VASP.

Summary:
The value obtained for the volume is 24.1 Å³/atom. As for the density of states at the Fermi level: 2.78 states/eV per cell. The calculation puts the raw formation energy at 1.31 eV per atom. The calculation puts the relative energy among the computed polymorphs at 114 meV per atom.

```
&SYSTEM
  ibrav = 0, nat = 5, ntyp = 4
/
ATOMIC_SPECIES
Br 79.90 Br.upf
As 74.92 As.upf
Ru 101.07 Ru.upf
N 14.01 N.upf
ATOMIC_POSITIONS angstrom
Br 0.000 0.000 2.735
As 0.000 2.349 0.000
Ru 0.000 0.000 0.000
As 2.349 0.000 0.000
N 2.349 2.349 2.735
CELL_PARAMETERS angstrom
4.698 0.000 0.000
0.000 4.698 0.000
0.000 0.000 5.470
```

2.
First-principles (GGA-PBE) data for crystalline YNi2Hg at its relaxed geometry, as listed in Alexandria via LeMat-Bulk. Values from VASP.

Summary:
The value obtained for the volume is 18.0 Å³/atom. As for the density of states at the Fermi level: 2.52 states/eV per cell. As for the calculated total energy: -4.835 eV/atom.

```
&SYSTEM
  ibrav = 0, nat = 4, ntyp = 3
/
ATOMIC_SPECIES
Ni 58.69 Ni.upf
Y 88.91 Y.upf
Hg 200.59 Hg.upf
ATOMIC_POSITIONS angstrom
Ni 1.932 0.720 1.276
Ni 0.000 2.647 4.774
Y 0.000 2.648 2.042
Hg 1.932 4.572 4.015
CELL_PARAMETERS angstrom
3.865 0.000 0.000
0.000 3.851 0.000
0.000 1.924 4.843
```

3.
First-principles (GGA-PBE) data for crystalline In4Ga5Hg2 at its relaxed geometry, as listed in Alexandria via LeMat-Bulk. Values from VASP.

Summary:
The value obtained for the volume is 24.3 Å³/atom. As for the density of states at the Fermi level: 2.90 states/eV per cell. As for the calculated total energy: -2.374 eV/atom.

```
&SYSTEM
  ibrav = 0, nat = 11, ntyp = 3
/
ATOMIC_SPECIES
In 114.82 In.upf
Hg 200.59 Hg.upf
Ga 69.72 Ga.upf
ATOMIC_POSITIONS angstrom
In 3.036 -1.620 8.057
Hg 2.137 -3.427 5.254
Hg 2.342 -0.689 2.881
In -1.296 -3.133 5.343
Ga 3.995 -1.354 5.082
Ga 6.249 0.770 5.240
Ga 0.484 -2.762 3.053
In -1.047 -0.049 2.687
Ga -1.443 -2.772 1.223
Ga -1.770 -4.886 2.894
In 3.285 1.465 5.401
CELL_PARAMETERS angstrom
-2.490 2.448 2.610
-2.887 -5.545 2.447
7.365 1.428 5.688
```

4.
First-principles (GGA-PBE) data for crystalline PmTeF2 at its relaxed geometry, as listed in Alexandria via LeMat-Bulk. Values from VASP.

Summary:
The value obtained for the volume is 20.9 Å³/atom. As for the density of states at the Fermi level: 1.81 states/eV per cell. The calculation puts the raw formation energy at -2.93 eV per atom.

```
&SYSTEM
  ibrav = 0, nat = 8, ntyp = 3
/
ATOMIC_SPECIES
F 19.00 F.upf
Te 127.60 Te.upf
Pm 145.00 Pm.upf
ATOMIC_POSITIONS angstrom
F -2.707 4.217 1.868
Te 0.642 5.035 0.899
F -2.806 1.157 -0.952
Pm -2.433 2.000 1.281
Pm -2.647 5.771 0.020
F -2.273 6.614 2.252
Te -5.721 2.736 0.401
F -2.372 3.554 -0.567
CELL_PARAMETERS angstrom
-1.280 0.828 -3.723
-5.006 0.272 3.954
1.207 6.671 1.069
```

Q: density of states at the Fermi level of number 3 (In4Ga5Hg2)?
A: 2.90 states/eV per cell